Record 1
# K2PtF2

K2PtF2 after structural relaxation (GGA-PBE, Alexandria). Values from VASP.

The calculation puts the raw formation energy at -1.3092 eV per atom. The symmetry is P4/mbm (127). Its volume is 18.39 Å³/atom. The calculation puts the magnetization at 1.13 μB per cell.

Cell and atoms, written as Quantum ESPRESSO input:
```
&SYSTEM
  ibrav = 0, nat = 10, ntyp = 3
/
ATOMIC_SPECIES
K 39.10 K.upf
Pt 195.08 Pt.upf
F 19.00 F.upf
CELL_PARAMETERS angstrom
7.5829 0.0000 0.0000
0.0000 7.5829 0.0000
0.0000 0.0000 3.1977
ATOMIC_POSITIONS angstrom
K 1.1185 2.6729 0.0000
K 2.6729 6.4643 0.0000
K 4.9100 1.1185 0.0000
K 6.4643 4.9100 0.0000
Pt 0.0000 0.0000 1.5989
Pt 3.7914 3.7914 1.5989
F 1.1902 4.9816 1.5989
F 2.6012 1.1902 1.5989
F 4.9816 6.3926 1.5989
F 6.3926 2.6012 1.5989
```


Record 2
# RbLa2U3N8

RbLa2U3N8 after structural relaxation (GGA-PBE, Alexandria). Values from VASP.

The calculation puts the raw formation energy at -1.2128 eV per atom. The symmetry is R3m (160). Its volume is 18.51 Å³/atom. The calculation puts the magnetization at 1.07 μB per cell.

Cell and atoms, written as Quantum ESPRESSO input:
```
&SYSTEM
  ibrav = 0, nat = 14, ntyp = 4
/
ATOMIC_SPECIES
Rb 85.47 Rb.upf
La 138.91 La.upf
U 238.03 U.upf
N 14.01 N.upf
CELL_PARAMETERS angstrom
3.5225 2.0337 6.0280
-3.5225 2.0337 6.0280
0.0000 -4.0674 6.0280
ATOMIC_POSITIONS angstrom
Rb 0.0000 0.0000 0.0000
La 0.0000 0.0000 4.2495
La 0.0000 0.0000 11.3763
U -1.7827 -1.0293 8.3204
U 1.7828 -1.0293 8.3204
U 0.0000 2.0585 8.3204
N 0.0000 -1.7841 9.5211
N -1.5450 0.8920 9.5211
N 0.0000 0.0000 7.2615
N -1.4216 -0.8207 13.2634
N 1.5450 0.8920 9.5211
N 0.0000 0.0000 15.3397
N 1.4216 -0.8207 13.2635
N 0.0000 1.6415 13.2635
```


Record 3
# ZrTaRh

ZrTaRh after structural relaxation (GGA-PBE, Alexandria). Values from VASP.

The symmetry is P3m1 (156). The value obtained for the energy relative to the elements is -0.174 eV/atom. Its volume is 18.62 Å³/atom. The calculation puts the magnetization at 0.00 μB per cell.

Cell and atoms, written as Quantum ESPRESSO input:
```
&SYSTEM
  ibrav = 0, nat = 3, ntyp = 3
/
ATOMIC_SPECIES
Zr 91.22 Zr.upf
Ta 180.95 Ta.upf
Rh 102.91 Rh.upf
CELL_PARAMETERS angstrom
3.1264 0.0000 0.0000
-1.5632 2.7075 0.0000
0.0000 0.0000 6.5998
ATOMIC_POSITIONS angstrom
Zr 0.0000 0.0000 0.0000
Ta 0.0000 1.8050 4.2100
Rh 1.5632 0.9025 2.2253
```


Record 4
# MnCd2Ru

MnCd2Ru after structural relaxation (GGA-PBE, Alexandria). Values from VASP.

The symmetry is I-4m2 (119). The value obtained for the energy relative to the elements is 0.291 eV/atom. Its volume is 17.07 Å³/atom. The calculation puts the magnetization at 4.12 μB per cell.

Cell and atoms, written as Quantum ESPRESSO input:
```
&SYSTEM
  ibrav = 0, nat = 4, ntyp = 3
/
ATOMIC_SPECIES
Mn 54.94 Mn.upf
Cd 112.41 Cd.upf
Ru 101.07 Ru.upf
CELL_PARAMETERS angstrom
-2.0731 2.0731 3.9711
2.0731 -2.0731 3.9711
2.0731 2.0731 -3.9711
ATOMIC_POSITIONS angstrom
Mn 0.0000 0.0000 0.0000
Cd 0.0000 0.0000 3.9711
Cd 0.0000 2.0731 1.9856
Ru 2.0731 0.0000 1.9856
```


Record 5
# Pr12Zn3H5

Pr12Zn3H5 after structural relaxation (GGA-PBE, Alexandria). Values from VASP.

The symmetry is Ia-3d (230). Its total energy is -4.092 eV per atom. Its volume is 25.54 Å³/atom. The calculation puts the magnetization at 0.00 μB per cell.

Cell and atoms, written as Quantum ESPRESSO input:
```
&SYSTEM
  ibrav = 0, nat = 80, ntyp = 3
/
ATOMIC_SPECIES
Pr 140.91 Pr.upf
Zn 65.41 Zn.upf
H 1.01 H.upf
CELL_PARAMETERS angstrom
-7.9933 7.9933 7.9933
7.9933 -7.9933 7.9933
7.9933 7.9933 -7.9933
ATOMIC_POSITIONS angstrom
Pr 2.4177 -0.6261 0.9353
Pr 9.5722 4.9319 -4.6227
Pr 7.3672 -0.9353 2.4177
Pr 12.6160 -1.5789 3.0613
Pr 10.4110 0.6261 0.9353
Pr 9.5722 -3.0613 4.6227
Pr 0.9353 2.4177 -0.6261
Pr 11.0546 3.3705 -1.5789
Pr 4.9319 4.6227 -1.5789
Pr 7.0579 2.4177 0.6261
Pr -0.6261 0.9353 2.4177
Pr 4.6227 -1.5789 4.9319
Pr 7.3672 7.0579 -2.4177
Pr 4.6227 1.5789 3.0613
Pr 7.0579 -2.4177 7.3672
Pr 4.9319 -4.6227 9.5722
Pr 3.0613 4.6227 1.5789
Pr 8.9286 5.5755 0.6261
Pr 2.4177 7.3672 -0.9353
Pr 9.5722 3.0613 3.3705
Pr 4.6227 9.5722 -3.0613
Pr 7.3672 0.9353 5.5755
Pr 1.5789 3.0613 4.6227
Pr 2.4177 0.6261 7.0579
Pr 5.5755 7.3672 0.9353
Pr 6.4143 4.9319 3.3705
Pr 0.6261 7.0579 2.4177
Pr 3.3705 -1.5789 11.0546
Pr -1.5789 4.9319 4.6227
Pr 5.5755 0.6261 8.9286
Pr -0.9353 2.4177 7.3672
Pr 4.9319 3.3705 6.4143
Pr 3.0613 12.6160 -1.5789
Pr 0.9353 10.4110 0.6261
Pr 3.3705 6.4143 4.9319
Pr 0.6261 0.9353 10.4110
Pr 3.3705 9.5722 3.0613
Pr 8.6194 7.0579 5.5755
Pr 0.9353 5.5755 7.3672
Pr 3.0613 3.3705 9.5722
Pr -3.0613 4.6227 9.5722
Pr 7.0579 5.5755 8.6194
Pr -1.5789 11.0546 3.3705
Pr -2.4177 7.3672 7.0579
Pr -4.6227 9.5722 4.9319
Pr 0.6261 8.9286 5.5755
Pr -1.5789 3.0613 12.6160
Pr 5.5755 8.6194 7.0579
Zn 3.9966 1.9983 0.0000
Zn 7.9933 3.9966 -1.9983
Zn 1.9983 0.0000 3.9966
Zn 9.9916 0.0000 3.9966
Zn 0.0000 3.9966 1.9983
Zn 3.9966 -1.9983 7.9933
Zn 3.9966 9.9916 0.0000
Zn 7.9933 3.9966 5.9949
Zn -1.9983 7.9933 3.9966
Zn 5.9949 7.9933 3.9966
Zn 0.0000 3.9966 9.9916
Zn 3.9966 5.9949 7.9933
H 0.0000 0.0000 0.0000
H 3.9966 3.9966 -3.9966
H 3.9966 -3.9966 3.9966
H 7.9933 0.0000 0.0000
H 11.9899 1.9983 0.0000
H 7.9933 -3.9966 5.9949
H 5.9949 7.9933 -3.9966
H 5.9949 0.0000 3.9966
H 3.9966 5.9949 0.0000
H 7.9933 3.9966 1.9983
H -3.9966 3.9966 3.9966
H 0.0000 7.9933 0.0000
H 0.0000 0.0000 7.9933
H 3.9966 3.9966 3.9966
H 0.0000 3.9966 5.9949
H 3.9966 1.9983 7.9933
H 1.9983 7.9933 3.9966
H 1.9983 0.0000 11.9899
H 0.0000 11.9899 1.9983
H -3.9966 5.9949 7.9933
```


Record 6
# ScTl2

ScTl2 after structural relaxation (GGA-PBE, Alexandria). Values from VASP.

The symmetry is Pnma (62). The value obtained for the energy relative to the elements is -0.106 eV/atom. Its volume is 25.05 Å³/atom. The calculation puts the magnetization at 0.00 μB per cell.

Cell and atoms, written as Quantum ESPRESSO input:
```
&SYSTEM
  ibrav = 0, nat = 12, ntyp = 2
/
ATOMIC_SPECIES
Sc 44.96 Sc.upf
Tl 204.38 Tl.upf
CELL_PARAMETERS angstrom
6.3666 0.0000 0.0000
0.0000 4.5281 0.0000
0.0000 0.0000 10.4275
ATOMIC_POSITIONS angstrom
Sc 0.8793 1.1320 1.0676
Sc 2.3040 3.3961 6.2814
Sc 4.0626 1.1320 4.1461
Sc 5.4873 3.3961 9.3599
Tl 0.7212 1.1320 8.0331
Tl 0.8908 1.1320 4.4941
Tl 2.2925 3.3961 9.7078
Tl 2.4622 3.3961 2.8194
Tl 3.9045 1.1320 7.6081
Tl 4.0742 1.1320 0.7197
Tl 5.4758 3.3961 5.9334
Tl 5.6455 3.3961 2.3944
```


Record 7
# Zn2BiAs

Zn2BiAs after structural relaxation (GGA-PBE, Alexandria). Values from VASP.

The symmetry is I-42d (122). The value obtained for the energy relative to the elements is 0.113 eV/atom. Its volume is 26.95 Å³/atom. The calculation puts the magnetization at 0.00 μB per cell.

Cell and atoms, written as Quantum ESPRESSO input:
```
&SYSTEM
  ibrav = 0, nat = 8, ntyp = 3
/
ATOMIC_SPECIES
Zn 65.41 Zn.upf
Bi 208.98 Bi.upf
As 74.92 As.upf
CELL_PARAMETERS angstrom
-3.1234 3.1234 5.5250
3.1234 -3.1234 5.5250
3.1234 3.1234 -5.5250
ATOMIC_POSITIONS angstrom
Zn 4.6851 1.2455 -1.3812
Zn 1.2455 1.5617 1.3812
Zn -1.5617 1.8779 4.1437
Zn 1.8779 1.5617 6.9062
Bi 3.1234 0.0000 2.7625
Bi 0.0000 0.0000 5.5250
As 0.0000 0.0000 0.0000
As 0.0000 3.1234 2.7625
```


Record 8
# SmDy3Er2Sb6

SmDy3Er2Sb6 after structural relaxation (GGA-PBE, Alexandria). Values from VASP.

The calculation puts the raw formation energy at -1.1250 eV per atom. The symmetry is C2/m (12). Its volume is 29.87 Å³/atom. The calculation puts the magnetization at 0.00 μB per cell.

Cell and atoms, written as Quantum ESPRESSO input:
```
&SYSTEM
  ibrav = 0, nat = 12, ntyp = 4
/
ATOMIC_SPECIES
Sm 150.36 Sm.upf
Dy 162.50 Dy.upf
Er 167.26 Er.upf
Sb 121.76 Sb.upf
CELL_PARAMETERS angstrom
9.5613 -2.1939 0.0000
9.5613 2.1939 0.0000
-2.0076 0.0000 8.5430
ATOMIC_POSITIONS angstrom
Sm 0.0000 0.0000 0.0000
Dy -1.0038 0.0000 4.2715
Dy 6.0567 0.0000 1.4310
Dy 11.0584 0.0000 7.1119
Er 5.0259 0.0000 5.6928
Er 12.0892 0.0000 2.8501
Sb 2.0272 0.0000 4.9708
Sb 3.0490 0.0000 0.7316
Sb 8.0440 0.0000 6.3689
Sb 9.0711 0.0000 2.1740
Sb 14.0661 0.0000 7.8113
Sb 15.0878 0.0000 3.5721
```


Q: What is the volume in the fifth record?
A: 25.54 Å³/atom


Please write out number 2 again, unchanged.
# RbLa2U3N8

RbLa2U3N8 after structural relaxation (GGA-PBE, Alexandria). Values from VASP.

The calculation puts the raw formation energy at -1.2128 eV per atom. The symmetry is R3m (160). Its volume is 18.51 Å³/atom. The calculation puts the magnetization at 1.07 μB per cell.

Cell and atoms, written as Quantum ESPRESSO input:
```
&SYSTEM
  ibrav = 0, nat = 14, ntyp = 4
/
ATOMIC_SPECIES
Rb 85.47 Rb.upf
La 138.91 La.upf
U 238.03 U.upf
N 14.01 N.upf
CELL_PARAMETERS angstrom
3.5225 2.0337 6.0280
-3.5225 2.0337 6.0280
0.0000 -4.0674 6.0280
ATOMIC_POSITIONS angstrom
Rb 0.0000 0.0000 0.0000
La 0.0000 0.0000 4.2495
La 0.0000 0.0000 11.3763
U -1.7827 -1.0293 8.3204
U 1.7828 -1.0293 8.3204
U 0.0000 2.0585 8.3204
N 0.0000 -1.7841 9.5211
N -1.5450 0.8920 9.5211
N 0.0000 0.0000 7.2615
N -1.4216 -0.8207 13.2634
N 1.5450 0.8920 9.5211
N 0.0000 0.0000 15.3397
N 1.4216 -0.8207 13.2635
N 0.0000 1.6415 13.2635
```


Copy entry 7 word for word.
# Zn2BiAs

Zn2BiAs after structural relaxation (GGA-PBE, Alexandria). Values from VASP.

The symmetry is I-42d (122). The value obtained for the energy relative to the elements is 0.113 eV/atom. Its volume is 26.95 Å³/atom. The calculation puts the magnetization at 0.00 μB per cell.

Cell and atoms, written as Quantum ESPRESSO input:
```
&SYSTEM
  ibrav = 0, nat = 8, ntyp = 3
/
ATOMIC_SPECIES
Zn 65.41 Zn.upf
Bi 208.98 Bi.upf
As 74.92 As.upf
CELL_PARAMETERS angstrom
-3.1234 3.1234 5.5250
3.1234 -3.1234 5.5250
3.1234 3.1234 -5.5250
ATOMIC_POSITIONS angstrom
Zn 4.6851 1.2455 -1.3812
Zn 1.2455 1.5617 1.3812
Zn -1.5617 1.8779 4.1437
Zn 1.8779 1.5617 6.9062
Bi 3.1234 0.0000 2.7625
Bi 0.0000 0.0000 5.5250
As 0.0000 0.0000 0.0000
As 0.0000 3.1234 2.7625
```


Q: What is the magnetization in the eighth record?
A: 0.00 μB per cell